Record 1
TlBRh4Pb: optimized geometry, PBE-GGA.

Values from the calculation:
Energy of formation from the pure elements, eV/atom: -0.069

CIF file:
```
data_TlBRh4Pb
_chemical_formula_sum 'Tl4 B4 Rh16 Pb4'
_cell_length_a 5.870
_cell_length_b 13.790
_cell_length_c 5.879
_cell_angle_alpha 90.00
_cell_angle_beta 90.00
_cell_angle_gamma 90.00
_space_group_name_H-M_alt 'C m c m'
_space_group_IT_number 63
_space_group_name_Hall '-C 2c 2'
loop_
_atom_site_label
_atom_site_type_symbol
_atom_site_fract_x
_atom_site_fract_y
_atom_site_fract_z
Tl1 Tl 0.000 0.100 0.250
B1 B 0.000 0.250 0.750
Rh1 Rh 0.000 0.100 0.750
Rh2 Rh 0.000 0.401 0.750
Rh3 Rh 0.250 0.250 0.000
Pb1 Pb 0.000 0.397 0.250
```

Record 2
Rb2PbI5: optimized geometry, PBE-GGA.

Values from the calculation:
Formation energy (no corrections), meV/atom: -891

CIF file:
```
data_Rb2PbI5
_chemical_formula_sum 'Rb8 Pb4 I20'
_cell_length_a 6.710
_cell_length_b 18.257
_cell_length_c 15.718
_cell_angle_alpha 90.00
_cell_angle_beta 90.00
_cell_angle_gamma 90.00
_space_group_name_H-M_alt 'C m c m'
_space_group_IT_number 63
_space_group_name_Hall '-C 2c 2'
loop_
_atom_site_label
_atom_site_type_symbol
_atom_site_fract_x
_atom_site_fract_y
_atom_site_fract_z
Rb1 Rb 0.000 0.165 0.086
Pb1 Pb 0.000 0.152 0.750
I1 I 0.000 0.040 0.599
I2 I 0.000 0.276 0.613
I3 I 0.000 0.322 0.250
```